First-principles (PBEsol) data for a geometry-optimized Mg2HgSb structure, as listed in Alexandria.

Cell and atoms, written as CIF:
```
data_Mg2HgSb
_cell_length_a 5.054
_cell_length_b 5.054
_cell_length_c 5.054
_cell_angle_alpha 60.00
_cell_angle_beta 60.00
_cell_angle_gamma 60.00
_symmetry_space_group_name_H-M 'P 1'
_symmetry_Int_Tables_number 1
_symmetry_space_group_name_Hall 'P 1'
loop_
_atom_site_label
_atom_site_fract_x
_atom_site_fract_y
_atom_site_fract_z
Hg1 0.000 0.000 0.000
Mg1 0.250 0.250 0.250
Sb1 0.500 0.500 0.500
Mg2 0.750 0.750 0.750
```

## Properties
- Energy relative to the lowest polymorph listed for this composition: 0.0 meV/atom